# 1
Here is a geometry-optimized Li4SmGa structure from the Alexandria database. Energies are from PBE.

Calculated values
For the total magnetization, the calculation gives 0.0 Bohr magnetons per cell. For the formation energy, the calculation gives -0.09 eV/atom. The density of states at the Fermi level is 2.18 states/eV per cell.

Cell lengths 5.422, 5.422, 5.422 Å; angles 60.00, 60.00, 60.00 degrees
Positions (direct):
Li 0.627 0.120 0.627
Li 0.120 0.627 0.627
Li 0.627 0.627 0.627
Li 0.627 0.627 0.120
Sm 0.250 0.250 0.250
Ga 0.000 0.000 0.000

---

# 2
Here is a geometry-optimized LuRu structure from the Alexandria database. Energies are from PBE.

Calculated values
For the total magnetization, the calculation gives 0.0 Bohr magnetons per cell. For the formation energy, the calculation gives -0.47 eV/atom. The density of states at the Fermi level is 2.19 states/eV per cell.

Cell lengths 3.330, 3.330, 3.330 Å; angles 90.00, 90.00, 90.00 degrees
Positions (direct):
Ru 0.500 0.500 0.500
Lu 0.000 0.000 0.000

---

# 3
Here is a geometry-optimized ErGeBr2 structure from the Alexandria database. Energies are from PBE.

Calculated values
The raw formation energy comes out at -316 meV per atom. For the total magnetization, the calculation gives 0.0 Bohr magnetons per cell. The density of states at the Fermi level is 1.74 states/eV per cell.

Cell lengths 3.653, 3.653, 10.384 Å; angles 79.87, 79.87, 60.00 degrees
Positions (direct):
Er 0.000 0.000 0.000
Br 0.912 0.912 0.265
Br 0.088 0.088 0.735
Ge 0.500 0.500 0.500

---

# 4
Here is a geometry-optimized TbEr2Rh2 structure from the Alexandria database. Energies are from PBE.

Calculated values
For the total magnetization, the calculation gives 0.0 Bohr magnetons per cell. For the formation energy, the calculation gives -0.74 eV/atom. As for the excess energy over the best structure of this formula in the dataset: 0 meV/atom. The density of states at the Fermi level is 3.36 states/eV per cell.

Cell lengths 4.761, 4.761, 5.973 Å; angles 90.00, 90.00, 60.00 degrees
Positions (direct):
Rh 0.833 0.333 0.170
Rh 0.167 0.667 0.830
Er 0.167 0.667 0.336
Er 0.833 0.333 0.664
Tb 0.500 0.000 0.000

---

# 5
Here is a geometry-optimized Y8Tl3PSe3 structure from the Alexandria database. Energies are from PBE.

Calculated values
The raw formation energy comes out at -1035 meV per atom. For the total magnetization, the calculation gives 0.0 Bohr magnetons per cell. The density of states at the Fermi level is 9.38 states/eV per cell.

Cell lengths 7.948, 7.956, 8.983 Å; angles 116.32, 89.99, 120.00 degrees
Positions (direct):
Y 0.233 0.465 0.715
Y 0.767 0.535 0.285
Y 0.259 0.519 0.278
Y 0.741 0.481 0.722
Y 0.250 0.018 0.285
Y 0.768 0.018 0.285
Y 0.232 0.982 0.715
Y 0.750 0.982 0.715
Tl 0.000 0.000 0.000
Tl 0.500 0.500 0.000
Tl 0.000 0.500 0.000
P 0.000 0.000 0.500
Se 0.500 0.500 0.500
Se 0.000 0.500 0.500
Se 0.500 0.000 0.500

---

# 6
Here is a geometry-optimized RbGa3Tc structure from the Alexandria database. Energies are from PBE.

Calculated values
For the total magnetization, the calculation gives 0.0 Bohr magnetons per cell. For the formation energy, the calculation gives 0.13 eV/atom. As for the excess energy over the best structure of this formula in the dataset: 274 meV/atom. The density of states at the Fermi level is 9.49 states/eV per cell.

Cell lengths 6.949, 6.949, 6.949 Å; angles 57.21, 57.21, 57.21 degrees
Positions (direct):
Rb 0.090 0.090 0.090
Rb 0.910 0.910 0.910
Tc 0.691 0.691 0.691
Tc 0.309 0.309 0.309
Ga 0.570 0.144 0.570
Ga 0.430 0.856 0.430
Ga 0.570 0.570 0.144
Ga 0.144 0.570 0.570
Ga 0.430 0.430 0.856
Ga 0.856 0.430 0.430

---

# 7
Here is a geometry-optimized LiPd6Au structure from the Alexandria database. Energies are from PBE.

Calculated values
For the total magnetization, the calculation gives 0.0 Bohr magnetons per cell. For the formation energy, the calculation gives -0.14 eV/atom. The density of states at the Fermi level is 8.81 states/eV per cell.

Cell lengths 4.628, 5.559, 5.559 Å; angles 120.01, 90.00, 90.00 degrees
Positions (direct):
Pd 0.500 0.415 0.083
Pd 0.000 0.584 0.919
Pd 0.500 0.917 0.585
Pd 0.000 0.081 0.416
Pd 0.500 0.917 0.083
Pd 0.000 0.584 0.416
Li 0.000 0.083 0.917
Au 0.500 0.417 0.583

---

# 8
Here is a geometry-optimized U2Ge3Rh5 structure from the Alexandria database. Energies are from PBE.

Calculated values
For the total magnetization, the calculation gives 5.4 Bohr magnetons per cell. For the formation energy, the calculation gives -0.55 eV/atom. The density of states at the Fermi level is 22.29 states/eV per cell.

Cell lengths 4.140, 6.525, 12.640 Å; angles 90.00, 99.43, 90.00 degrees
Site moments in Bohr magnetons follow the coordinates.
Positions (direct):
Rh 0.054 0.550 0.109  -0.15
Rh 0.879 0.690 0.757  -0.01
Rh 0.721 0.511 0.441  -0.07
Rh 0.603 0.862 0.205  -0.08
Rh 0.279 0.011 0.559  -0.07
Rh 0.301 0.566 0.602  -0.07
Rh 0.121 0.190 0.243  -0.01
Rh 0.699 0.066 0.398  -0.07
Rh 0.397 0.362 0.795  -0.08
Rh 0.946 0.050 0.891  -0.15
Ge 0.047 0.933 0.094  -0.01
Ge 0.953 0.433 0.906  -0.01
Ge 0.781 0.804 0.562  0.00
Ge 0.219 0.304 0.438  0.00
Ge 0.621 0.446 0.242  -0.01
Ge 0.379 0.946 0.758  -0.01
U 0.482 0.728 0.963  1.77
U 0.824 0.273 0.648  1.13
U 0.518 0.228 0.037  1.77
U 0.176 0.773 0.352  1.13

---

Question: Number 8 is which compound?
Answer: U2Ge3Rh5

---

Question: What is the total magnetization in the eighth record?
Answer: 5.4 Bohr magnetons per cell